No. 1
Computed, not measured: a relaxed Tc4PbCl crystal at the PBE-GGA level of DFT.

Unit cell a=5.317 b=5.317 c=5.317 alpha=60.00 beta=60.00 gamma=60.00
Positions (direct):
Tc 0.124 0.124 0.124
Tc 0.124 0.124 0.628
Tc 0.124 0.628 0.124
Tc 0.628 0.124 0.124
Pb 0.500 0.500 0.500
Cl 0.750 0.750 0.750

=====

No. 2
Computed, not measured: a relaxed TcPb2Cl crystal at the PBE-GGA level of DFT.

Unit cell a=4.592 b=4.907 c=8.667 alpha=90.00 beta=90.00 gamma=90.00
Positions (direct):
Tc 0.000 0.000 0.000
Tc 0.500 0.500 0.500
Pb 0.000 0.500 0.267
Pb 0.000 0.500 0.733
Pb 0.500 0.000 0.233
Pb 0.500 0.000 0.767
Cl 0.000 0.000 0.500
Cl 0.500 0.500 0.000

Polymorph energy (0 for the lowest one) in eV/atom: 0.357

=====

The calculation returns the following energy relative to the elements, uncorrected values, one per record and in order: 0.951, 0.543 eV/atom.
The calculation returns the following final energy values, one per record and in order: -6.885, -4.364 eV/atom.
The calculation returns the following size of the total moment values, one per record and in order: 0.00, 5.38 Bohr magnetons per cell.